# InSb2Te2 | Alexandria via LeMat-Bulk | PBE | relaxed
data_InSb2Te2
_space_group_name_H-M_alt 'I 4/m m m'
_space_group_IT_number 139
_space_group_name_Hall '-I 4 2'
_cell_length_a 6.054
_cell_length_b 6.054
_cell_length_c 9.344
_cell_angle_alpha 90.00
_cell_angle_beta 90.00
_cell_angle_gamma 90.00
loop_
_atom_site_label
_atom_site_fract_x
_atom_site_fract_y
_atom_site_fract_z
In1 0.000 0.000 0.000
Sb1 0.000 0.000 0.333
Te1 0.000 0.500 0.250
# final energy	-34.065	eV for the cell shown
# energy above the most stable polymorph in this dataset	1.6	kJ/mol of atoms
# formation energy without anion corrections	46.8	meV per atom
# M_tot	0.00	μB/f.u.

# Nd3DyTh2Sb6 | Alexandria via LeMat-Bulk | PBE | relaxed
data_Nd3DyTh2Sb6
_space_group_name_H-M_alt 'C 1 2/m 1'
_space_group_IT_number 12
_cell_length_a 19.614
_cell_length_b 4.502
_cell_length_c 8.989
_cell_angle_alpha 90.00
_cell_angle_beta 103.43
_cell_angle_gamma 90.00
loop_
_space_group_symop_operation_xyz
'x,y,z'
'-x,-y,-z'
'-x,y,-z'
'x,-y,z'
'x+1/2,y+1/2,z'
'-x+1/2,-y+1/2,-z'
'-x+1/2,y+1/2,-z'
'x+1/2,-y+1/2,z'
loop_
_atom_site_label
_atom_site_fract_x
_atom_site_fract_y
_atom_site_fract_z
Nd1 0.000 0.000 0.000
Nd2 0.167 0.500 0.334
Dy1 0.000 0.000 0.500
Th1 0.165 0.500 0.831
Sb1 0.000 0.500 0.256
Sb2 0.164 0.000 0.582
Sb3 0.167 0.000 0.082
# final energy	-143.324	eV for the cell shown
# formation energy without anion corrections	-1098.5	meV per atom
# M_tot	0.00	μB/f.u.

# TbSe4 | Alexandria via LeMat-Bulk | PBE | relaxed
data_TbSe4
_space_group_name_H-M_alt 'P m -3 m'
_space_group_IT_number 221
_space_group_name_Hall '-P 4 2 3'
_cell_length_a 5.531
_cell_length_b 5.531
_cell_length_c 5.531
_cell_angle_alpha 90.00
_cell_angle_beta 90.00
_cell_angle_gamma 90.00
loop_
_atom_site_label
_atom_site_fract_x
_atom_site_fract_y
_atom_site_fract_z
Tb1 0.000 0.000 0.000
Se1 0.000 0.000 0.500
Se2 0.500 0.500 0.500
# final energy	-18.492	eV for the cell shown
# formation energy without anion corrections	15.3	meV per atom
# M_tot	3.07	μB/f.u.